Material: BaTm2RhO5
Method: DFT, PBE
State: relaxed

abc: 3.8935 5.7260 6.7479
angles: 115.11 106.77 90.00
With the nearest neighbours (Å) after each atom.
Element x y z (fractional)
Ba 0.0000 0.5000 0.0000  10 O 2.86-3.06
Tm 0.2041 0.2041 0.4082  7 O 2.19-2.44
Tm 0.7959 0.7959 0.5918  7 O 2.19-2.44
Rh 0.5000 0.0000 0.0000  2 O 1.95
O 0.6580 0.9187 0.3161  3 Tm 2.19-2.44, 1 Rh 2.29
O 0.3420 0.0813 0.6839  3 Tm 2.19-2.44, 1 Rh 2.29
O 0.3420 0.6026 0.6839  3 Tm 2.19-2.44, 1 Rh 2.29
O 0.6580 0.3974 0.3161  3 Tm 2.19-2.44, 1 Rh 2.29
O 0.0000 0.0000 0.0000  2 Rh 1.95

Computed properties:
**Final energy**: -7.3128 eV/atom
**Space-group type**: Immm
**Magnetic moment**: 1.34 μB/cell
**ΔE_f (raw)**: -2534 meV/atom

---

Material: Ba4TmRh3O12
Method: DFT, PBE
State: relaxed

abc: 7.1726 7.1726 7.1726
angles: 109.47 109.47 109.47
With the nearest neighbours (Å) after each atom.
Element x y z (fractional)
Ba 0.5000 0.5000 0.5000  12 O 2.93
Ba 0.0000 0.0000 0.5000  12 O 2.93
Ba 0.5000 0.0000 0.0000  12 O 2.93
Ba 0.0000 0.5000 0.0000  12 O 2.93
Tm 0.0000 0.0000 0.0000  6 O 2.17
Rh 0.5000 0.0000 0.5000  6 O 1.97-2.07
Rh 0.5000 0.5000 0.0000  6 O 1.97-2.07
Rh 0.0000 0.5000 0.5000  6 O 1.97-2.07
O 0.2500 0.5000 0.7500  2 Rh 2.07
O 0.7383 0.0000 0.7383  1 Rh 1.97, 1 Tm 2.17
O 0.2617 0.0000 0.2617  1 Rh 1.97, 1 Tm 2.17
O 0.7500 0.5000 0.2500  2 Rh 2.07
O 0.7383 0.7383 0.0000  1 Rh 1.97, 1 Tm 2.17
O 0.2617 0.2617 0.0000  1 Rh 1.97, 1 Tm 2.17
O 0.7500 0.2500 0.5000  2 Rh 2.07
O 0.2500 0.7500 0.5000  2 Rh 2.07
O 0.5000 0.2500 0.7500  2 Rh 2.07
O 0.0000 0.7383 0.7383  1 Rh 1.97, 1 Tm 2.17
O 0.5000 0.7500 0.2500  2 Rh 2.07
O 0.0000 0.2617 0.2617  1 Rh 1.97, 1 Tm 2.17

Computed properties:
**Final energy**: -6.5830 eV/atom
**Space-group type**: Im-3m
**Magnetic moment**: 5.28 μB/cell
**ΔE_f (raw)**: -1897 meV/atom

---

Material: Ba2TmRhO5
Method: DFT, PBE
State: relaxed

abc: 3.6185 7.1947 11.5886
angles: 90.00 90.00 104.56
With the nearest neighbours (Å) after each atom.
Element x y z (fractional)
Ba 0.8594 0.7189 0.7911  6 O 2.64-2.94
Ba 0.1072 0.2145 0.6733  6 O 2.54-2.82
Ba 0.1406 0.2811 0.2911  6 O 2.64-2.94
Ba 0.8928 0.7855 0.1733  6 O 2.54-2.82
Tm 0.5424 0.0848 0.9634  5 O 2.11-2.34
Tm 0.4576 0.9152 0.4634  5 O 2.11-2.34
Rh 0.7802 0.5604 0.5200  6 O 2.14-2.22
Rh 0.2198 0.4396 0.0200  6 O 2.14-2.22
O 0.3770 0.7539 0.9964  1 Rh 2.21, 1 Tm 2.34
O 0.6984 0.3968 0.9116  2 Rh 2.22, 1 Tm 2.25
O 0.5045 0.0089 0.7874  1 Tm 2.11
O 0.2854 0.5709 0.6285  2 Rh 2.20
O 0.9314 0.8628 0.5523  2 Tm 2.11, 1 Rh 2.14
O 0.6230 0.2461 0.4964  1 Rh 2.21, 1 Tm 2.34
O 0.3016 0.6032 0.4116  2 Rh 2.22, 1 Tm 2.25
O 0.4955 0.9911 0.2874  1 Tm 2.11
O 0.7146 0.4291 0.1285  2 Rh 2.20
O 0.0686 0.1372 0.0523  2 Tm 2.11, 1 Rh 2.14

Computed properties:
**Final energy**: -6.7548 eV/atom
**Space-group type**: Cmc2_1
**Magnetic moment**: 0.00 μB/cell
**ΔE_f (raw)**: -2259 meV/atom

---

Material: Ba3URh2O9
Method: DFT, PBE
State: relaxed

abc: 5.8660 5.8660 7.3245
angles: 90.00 90.00 120.00
With the nearest neighbours (Å) after each atom.
Element x y z (fractional)
Ba 0.3333 0.6667 0.7079  9 O 2.73-2.95
Ba 0.0000 0.0000 0.0000  12 O 2.93-2.98
Ba 0.6667 0.3333 0.2921  9 O 2.73-2.95
U 0.0000 0.0000 0.5000  6 O 2.10
Rh 0.3333 0.6667 0.1697  6 O 2.06-2.10
Rh 0.6667 0.3333 0.8303  6 O 2.06-2.10
O 0.8322 0.1678 0.6668  1 Rh 2.06, 1 U 2.10
O 0.8322 0.6643 0.6668  1 Rh 2.06, 1 U 2.10
O 0.3357 0.1678 0.6668  1 Rh 2.06, 1 U 2.10
O 0.6643 0.8322 0.3332  1 Rh 2.06, 1 U 2.10
O 0.1678 0.3357 0.3332  1 Rh 2.06, 1 U 2.10
O 0.1678 0.8322 0.3332  1 Rh 2.06, 1 U 2.10
O 0.5000 0.0000 0.0000  2 Rh 2.10
O 0.0000 0.5000 0.0000  2 Rh 2.10
O 0.5000 0.5000 0.0000  2 Rh 2.10

Computed properties:
**Final energy**: -7.3131 eV/atom
**Space-group type**: P-3m1
**Magnetic moment**: 0.00 μB/cell
**ΔE_f (raw)**: -2221 meV/atom

---

Material: Ba2URhO6
Method: DFT, PBE
State: relaxed

abc: 5.4750 5.7814 6.4868
angles: 116.46 110.48 90.00
With the nearest neighbours (Å) after each atom.
Element x y z (fractional)
Ba 0.2162 0.2340 0.4680  5 O 2.65-2.86
Ba 0.7838 0.7660 0.5320  5 O 2.65-2.86
U 0.0000 0.5000 0.0000  6 O 2.02-2.15
Rh 0.5000 0.0000 0.0000  4 O 2.02
O 0.2579 0.6805 0.3609  1 U 2.02
O 0.2100 0.1831 0.8849  1 Rh 2.02, 1 U 2.15
O 0.7900 0.2982 0.1151  1 Rh 2.02, 1 U 2.15
O 0.2100 0.7018 0.8849  1 Rh 2.02, 1 U 2.15
O 0.7900 0.8169 0.1151  1 Rh 2.02, 1 U 2.15
O 0.7421 0.3195 0.6391  1 U 2.02

Computed properties:
**Final energy**: -7.7266 eV/atom
**Space-group type**: C2/m
**Magnetic moment**: 1.02 μB/cell
**ΔE_f (raw)**: -2503 meV/atom

---

Question: magnetic moment of number 5 (Ba2URhO6)?
Answer: 1.02 μB/cell

---

Question: Which formula does entry 2 have?
Answer: Ba4TmRh3O12